A geometry-optimized Pm4Sn6O19 structure. Source: the Alexandria database, functional PBE-GGA.

Geometry as extended XYZ:
```
29
Lattice="7.717 0.000 -2.728 -3.858 6.683 -2.728 0.000 0.000 8.185" Properties=species:S:1:pos:R:3 pbc="T T T"
Sn 0.640 5.575 -0.905
O 5.064 0.243 0.362
Sn 0.650 3.341 4.552
Sn 3.209 3.341 -1.824
O -2.519 4.363 3.562
Pm 0.000 0.000 5.784
O 2.519 4.363 -3.562
O -1.829 6.439 1.925
Sn -1.289 4.449 1.824
O 5.038 0.000 3.562
Pm 1.132 1.960 0.800
Sn 5.148 2.233 0.905
O 0.261 4.804 3.147
O 4.974 4.264 -2.366
Sn 3.219 1.108 3.633
Pm 5.453 0.000 -1.928
O 2.633 5.047 -0.803
O -0.804 1.879 4.653
O 0.171 4.055 0.419
O 3.979 1.636 5.478
O 2.679 0.000 1.894
Pm -2.727 4.723 -1.928
O 3.286 2.419 0.022
O -0.432 4.507 -2.309
O -1.339 2.320 1.894
O 1.537 2.176 3.090
O 4.311 2.628 2.750
O 0.000 0.000 0.000
O 1.339 2.320 -1.894
```

E_form (uncorrected) (meV/atom): -2078
M_tot (μB/f.u.): 2.2
N(E_F) (states/eV/f.u.): 19.10

***

A geometry-optimized Pm7Sn2O2 structure. Source: the Alexandria database, functional PBE-GGA.

Geometry as extended XYZ:
```
11
Lattice="6.849 0.263 -0.954 0.262 6.409 -0.241 -1.379 -0.268 6.776" Properties=species:S:1:pos:R:3 pbc="T T T"
Sn 1.111 3.203 0.922
O 5.045 0.361 0.741
O 0.687 6.043 4.840
Pm 2.352 4.962 3.276
Pm -0.144 1.347 3.294
Pm 3.558 5.059 -0.181
Pm 2.174 1.345 5.762
Pm 0.000 0.000 0.000
Sn 4.622 3.200 4.659
Pm 3.381 1.441 2.306
Pm 5.877 5.057 2.287
```

E_form (uncorrected) (meV/atom): -1079
M_tot (μB/f.u.): 0.0
N(E_F) (states/eV/f.u.): 9.92

***

Number 1: raw total energy -197.5 eV per formula unit. Number 2: raw total energy -63.0 eV per formula unit.